DFT (PBE) results for a relaxed H2IrAu crystal.

Geometry as POSCAR:
```
H2IrAu
1.0
5.3685 0.0000 0.0000
0.0000 5.3685 0.0000
2.6843 2.6843 2.8255
Ir H Au
2 4 2
Direct
0.2500 0.7500 0.5000 Ir
0.5000 0.5000 0.0000 Ir
0.3750 0.4680 0.7500 H
0.5320 0.1250 0.2500 H
0.8750 0.7820 0.7500 H
0.2180 0.6250 0.2500 H
0.0000 0.0000 0.0000 Au
0.7500 0.2500 0.5000 Au
```

Output
crystal system = tetragonal
calculated volume = 81.44 Å³ per cell
SG = I-42d (122)
calculated total energy = -35.17 eV for the cell shown
energy above the lowest structure with this stoichiometry = 105 meV per atom
size of the total moment = 0.00 μB/f.u.

=====

DFT (PBE) results for a relaxed H2IrAu crystal.

Geometry as POSCAR:
```
H2IrAu
1.0
-1.9206 -2.1236 0.1115
0.7826 -2.5917 0.9387
-1.7616 -0.0389 5.7350
Ir Au H
1 1 2
Direct
0.6677 0.6677 0.9969 Ir
0.4974 0.4974 0.5079 Au
0.2854 0.2854 0.1439 H
0.0496 0.0496 0.8513 H
```

Output
crystal system = trigonal
calculated volume = 41.01 Å³ per cell
SG = R3m (160)
calculated total energy = -17.88 eV for the cell shown
energy above the lowest structure with this stoichiometry = 31 meV per atom
size of the total moment = 0.00 μB/f.u.

=====

DFT (PBE) results for a relaxed HIr2Au crystal.

Geometry as POSCAR:
```
HIr2Au
1.0
0.2949 1.3860 4.0343
-3.3387 1.9300 1.8470
-2.1669 -1.9847 3.1062
Au Ir H
1 2 1
Direct
0.5000 0.5000 0.5000 Au
0.7500 0.7500 0.7500 Ir
0.2500 0.2500 0.2500 Ir
0.0000 0.0000 0.0000 H
```

Output
crystal system = cubic
calculated volume = 55.28 Å³ per cell
SG = Fm-3m (225)
calculated total energy = -20.09 eV for the cell shown
energy above the lowest structure with this stoichiometry = 521 meV per atom
size of the total moment = 0.00 μB/f.u.

=====

DFT (PBE) results for a relaxed H2IrAu crystal.

Geometry as POSCAR:
```
H2IrAu
1.0
-1.7121 -1.6469 1.3936
1.0118 -1.9165 1.6998
-0.3753 3.5795 6.4907
H Ir Au
2 1 1
Direct
0.8786 0.8786 0.3641 H
0.1214 0.1214 0.6359 H
0.5000 0.5000 0.5000 Ir
0.0000 0.0000 0.0000 Au
```

Output
crystal system = trigonal
calculated volume = 47.63 Å³ per cell
SG = R-3m (166)
calculated total energy = -18.00 eV for the cell shown
energy above the lowest structure with this stoichiometry = 0 meV per atom
size of the total moment = 0.00 μB/f.u.

=====

DFT (PBE) results for a relaxed HIrAu3 crystal.

Geometry as POSCAR:
```
HIrAu3
1.0
5.0891 0.0000 0.0000
0.0000 5.0891 0.0000
0.0000 0.0000 5.0891
Au Ir H
3 1 1
Direct
0.5000 0.0000 0.0000 Au
0.0000 0.0000 0.5000 Au
0.0000 0.5000 0.0000 Au
0.0000 0.0000 0.0000 Ir
0.5000 0.5000 0.5000 H
```

Output
crystal system = cubic
calculated volume = 131.80 Å³ per cell
SG = Pm-3m (221)
calculated total energy = -14.67 eV for the cell shown
energy above the lowest structure with this stoichiometry = 927 meV per atom
size of the total moment = 2.67 μB/f.u.

=====

DFT (PBE) results for a relaxed HIr2Au crystal.

Geometry as POSCAR:
```
HIr2Au
1.0
6.1861 0.0000 0.0000
0.0000 6.1861 0.0000
3.0930 3.0930 2.6931
Au Ir H
2 4 2
Direct
0.7500 0.2500 0.5000 Au
0.0000 0.0000 0.0000 Au
0.8750 0.7699 0.7500 Ir
0.2301 0.6250 0.2500 Ir
0.5199 0.1250 0.2500 Ir
0.3750 0.4801 0.7500 Ir
0.2500 0.7500 0.5000 H
0.5000 0.5000 0.0000 H
```

Output
crystal system = tetragonal
calculated volume = 103.06 Å³ per cell
SG = I-42d (122)
calculated total energy = -44.35 eV for the cell shown
energy above the lowest structure with this stoichiometry = 0 meV per atom
size of the total moment = 0.00 μB/f.u.

=====

- What is the calculated volume in the fourth record?
  47.63 Å³ per cell